Record 1
This record from the Alexandria database describes RbY3Sn after structural relaxation. The functional is PBEsol.

Structure (extended XYZ):
```
5
Lattice="5.293 0.000 0.000 0.000 5.293 0.000 0.000 0.000 5.293" Properties=species:S:1:pos:R:3 pbc="T T T"
Y 0.000 0.000 2.647
Y 0.000 2.647 0.000
Y 2.647 0.000 0.000
Rb 0.000 0.000 0.000
Sn 2.647 2.647 2.647
```

Values from the calculation:
The value obtained for the total energy is -20.28 eV per cell.

Record 2
This record from the Alexandria database describes TeBrCl2 after structural relaxation. The functional is PBEsol.

Structure (extended XYZ):
```
4
Lattice="4.471 0.000 0.000 0.000 4.471 0.000 -2.236 -2.236 4.276" Properties=species:S:1:pos:R:3 pbc="T T T"
Te 2.236 2.236 0.000
Cl 2.236 0.000 2.138
Cl 0.000 2.236 2.138
Br 0.000 0.000 0.000
```

Values from the calculation:
For the distance to the lowest polymorph of the same formula, the calculation gives 0.03 eV/f.u. For the formation energy (no corrections), the calculation gives 0.16 eV/atom.

Record 3
This record from the Alexandria database describes KP2Se after structural relaxation. The functional is PBEsol.

Structure (extended XYZ):
```
4
Lattice="3.348 0.000 0.000 -1.674 4.975 0.028 0.000 -2.609 5.462" Properties=species:S:1:pos:R:3 pbc="T T T"
Se 1.674 -1.062 3.392
K 1.674 1.619 1.318
P 0.000 0.675 4.447
P 1.674 2.196 4.555
```

Values from the calculation:
For the formation energy (no corrections), the calculation gives -0.16 eV/atom.

Record 4
This record from the Alexandria database describes Al2CdIr after structural relaxation. The functional is PBEsol.

Structure (extended XYZ):
```
4
Lattice="2.996 0.000 0.000 0.000 4.511 0.052 0.000 -0.050 4.511" Properties=species:S:1:pos:R:3 pbc="T T T"
Al 0.000 -0.025 2.255
Al 0.000 2.255 0.026
Ir 1.498 2.231 2.282
Cd 1.498 0.000 0.000
```

Values from the calculation:
The value obtained for the total energy is -20.03 eV per cell.

Number 1: D(E_F) 0.500 states/eV/atom. Number 2: D(E_F) 0.835 states/eV/atom. Number 3: D(E_F) 0.149 states/eV/atom. Number 4: D(E_F) 0.311 states/eV/atom.